No. 1
Material: Ba6Hg2PtAu
Method: DFT, PBE-GGA
State: optimized geometry

Properties
- crystal system = monoclinic
- mass density (g/cm³) = 6.09
- calculated formation energy (eV per atom) = -0.55
- SG = P2_1/c (14)

```
data_Ba6Hg2PtAu
_symmetry_space_group_name_H-M 'P 1'
_symmetry_Int_Tables_number 1
_symmetry_space_group_name_Hall 'P 1'
_cell_length_a 8.1150
_cell_length_b 8.9942
_cell_length_c 12.0863
_cell_angle_alpha 90.00
_cell_angle_beta 89.35
_cell_angle_gamma 90.00
loop_
_atom_site_label
_atom_site_type_symbol
_atom_site_fract_x
_atom_site_fract_y
_atom_site_fract_z
Ba1 Ba 0.8617 0.5354 0.2439
Ba2 Ba 0.1810 0.1772 0.4357
Ba3 Ba 0.8190 0.8228 0.5643
Ba4 Ba 0.3335 0.6910 0.4336
Ba5 Ba 0.6810 0.3228 0.9357
Ba6 Ba 0.6383 0.0354 0.2561
Ba7 Ba 0.3190 0.6772 0.0643
Ba8 Ba 0.6665 0.3090 0.5664
Ba9 Ba 0.1665 0.1910 0.0664
Ba10 Ba 0.8335 0.8090 0.9336
Ba11 Ba 0.3617 0.9646 0.7439
Ba12 Ba 0.1383 0.4646 0.7561
Hg1 Hg 0.0520 0.8891 0.2513
Hg2 Hg 0.9480 0.1109 0.7487
Hg3 Hg 0.5520 0.6109 0.7513
Hg4 Hg 0.4480 0.3891 0.2487
Au1 Au 0.0000 0.5000 0.5000
Au2 Au 0.5000 0.0000 0.0000
Pt1 Pt 0.0000 0.5000 0.0000
Pt2 Pt 0.5000 0.0000 0.5000
```

***

No. 2
Material: Y3InRu
Method: DFT, PBE-GGA
State: optimized geometry

Properties
- crystal system = cubic
- mass density (g/cm³) = 5.33
- calculated formation energy (eV per atom) = -0.18
- SG = Pm-3m (221)

```
data_Y3InRu
_symmetry_space_group_name_H-M 'P 1'
_symmetry_Int_Tables_number 1
_symmetry_space_group_name_Hall 'P 1'
_cell_length_a 5.3161
_cell_length_b 5.3161
_cell_length_c 5.3161
_cell_angle_alpha 90.00
_cell_angle_beta 90.00
_cell_angle_gamma 90.00
loop_
_atom_site_label
_atom_site_type_symbol
_atom_site_fract_x
_atom_site_fract_y
_atom_site_fract_z
Ru1 Ru 0.0000 0.0000 0.0000
Y1 Y 0.5000 0.0000 0.0000
Y2 Y 0.0000 0.5000 0.0000
Y3 Y 0.0000 0.0000 0.5000
In1 In 0.5000 0.5000 0.5000
```

***

No. 3
Material: ZrZnTeN2
Method: DFT, PBE-GGA
State: optimized geometry

Properties
- crystal system = tetragonal
- mass density (g/cm³) = 4.88
- E_form (uncorrected) (eV per formula unit) = 1.79
- SG = P4/mmm (123)

```
data_ZrZnTeN2
_symmetry_space_group_name_H-M 'P 1'
_symmetry_Int_Tables_number 1
_symmetry_space_group_name_Hall 'P 1'
_cell_length_a 4.1371
_cell_length_b 4.1371
_cell_length_c 6.2030
_cell_angle_alpha 90.00
_cell_angle_beta 90.00
_cell_angle_gamma 90.00
loop_
_atom_site_label
_atom_site_type_symbol
_atom_site_fract_x
_atom_site_fract_y
_atom_site_fract_z
Zn1 Zn 0.5000 0.5000 0.5000
N1 N 0.5000 0.0000 0.0000
N2 N 0.0000 0.5000 0.0000
Zr1 Zr 0.0000 0.0000 0.0000
Te1 Te 0.0000 0.0000 0.5000
```

***

No. 4
Material: PrMgBiPb
Method: DFT, PBE-GGA
State: optimized geometry

Properties
- crystal system = cubic
- mass density (g/cm³) = 8.15
- calculated formation energy (eV per atom) = -0.28
- SG = F-43m (216)

```
data_PrMgBiPb
_symmetry_space_group_name_H-M 'P 1'
_symmetry_Int_Tables_number 1
_symmetry_space_group_name_Hall 'P 1'
_cell_length_a 5.5116
_cell_length_b 5.5116
_cell_length_c 5.5116
_cell_angle_alpha 60.00
_cell_angle_beta 60.00
_cell_angle_gamma 60.00
loop_
_atom_site_label
_atom_site_type_symbol
_atom_site_fract_x
_atom_site_fract_y
_atom_site_fract_z
Pr1 Pr 0.5000 0.5000 0.5000
Mg1 Mg 0.0000 0.0000 0.0000
Bi1 Bi 0.2500 0.2500 0.2500
Pb1 Pb 0.7500 0.7500 0.7500
```

***

No. 5
Material: YEr3Co
Method: DFT, PBE-GGA
State: optimized geometry

Properties
- crystal system = cubic
- mass density (g/cm³) = 7.55
- calculated formation energy (eV per atom) = -0.03
- SG = Pm-3m (221)

```
data_YEr3Co
_symmetry_space_group_name_H-M 'P 1'
_symmetry_Int_Tables_number 1
_symmetry_space_group_name_Hall 'P 1'
_cell_length_a 5.2289
_cell_length_b 5.2289
_cell_length_c 5.2289
_cell_angle_alpha 90.00
_cell_angle_beta 90.00
_cell_angle_gamma 90.00
loop_
_atom_site_label
_atom_site_type_symbol
_atom_site_fract_x
_atom_site_fract_y
_atom_site_fract_z
Er1 Er 0.5000 0.0000 0.0000
Er2 Er 0.0000 0.0000 0.5000
Er3 Er 0.0000 0.5000 0.0000
Co1 Co 0.0000 0.0000 0.0000
Y1 Y 0.5000 0.5000 0.5000
```

***

No. 6
Material: Y2Al3Ga3
Method: DFT, PBE-GGA
State: optimized geometry

Properties
- crystal system = orthorhombic
- mass density (g/cm³) = 4.99
- calculated formation energy (eV per atom) = -0.47
- SG = Pmmm (47)

```
data_Y2Al3Ga3
_symmetry_space_group_name_H-M 'P 1'
_symmetry_Int_Tables_number 1
_symmetry_space_group_name_Hall 'P 1'
_cell_length_a 4.2824
_cell_length_b 4.3025
_cell_length_c 8.4471
_cell_angle_alpha 90.00
_cell_angle_beta 90.00
_cell_angle_gamma 90.00
loop_
_atom_site_label
_atom_site_type_symbol
_atom_site_fract_x
_atom_site_fract_y
_atom_site_fract_z
Y1 Y 0.0000 0.0000 0.7472
Y2 Y 0.0000 0.0000 0.2528
Al1 Al 0.5000 0.5000 0.2464
Al2 Al 0.5000 0.5000 0.7536
Al3 Al 0.0000 0.5000 0.0000
Ga1 Ga 0.0000 0.5000 0.5000
Ga2 Ga 0.5000 0.0000 0.0000
Ga3 Ga 0.5000 0.0000 0.5000
```

***

No. 7
Material: SrMg2CdCl8
Method: DFT, PBE-GGA
State: optimized geometry

Properties
- crystal system = monoclinic
- mass density (g/cm³) = 2.83
- E_form (uncorrected) (eV per formula unit) = -21.12
- SG = P2/m (10)

```
data_SrMg2CdCl8
_symmetry_space_group_name_H-M 'P 1'
_symmetry_Int_Tables_number 1
_symmetry_space_group_name_Hall 'P 1'
_cell_length_a 6.3618
_cell_length_b 6.2048
_cell_length_c 7.9079
_cell_angle_alpha 90.00
_cell_angle_beta 90.00
_cell_angle_gamma 89.25
loop_
_atom_site_label
_atom_site_type_symbol
_atom_site_fract_x
_atom_site_fract_y
_atom_site_fract_z
Cl1 Cl 0.8106 0.2379 0.7679
Cl2 Cl 0.6684 0.7103 0.0000
Cl3 Cl 0.3316 0.2897 0.0000
Cl4 Cl 0.8106 0.2380 0.2321
Cl5 Cl 0.6549 0.6994 0.5000
Cl6 Cl 0.1894 0.7620 0.7679
Cl7 Cl 0.3451 0.3006 0.5000
Cl8 Cl 0.1894 0.7621 0.2321
Cd1 Cd 0.0000 0.0000 0.0000
Mg1 Mg 0.5000 0.5000 0.2423
Mg2 Mg 0.5000 0.5000 0.7577
Sr1 Sr 0.0000 0.0000 0.5000
```

***

No. 8
Material: CsK2AgAu
Method: DFT, PBE-GGA
State: optimized geometry

Properties
- crystal system = tetragonal
- mass density (g/cm³) = 3.14
- calculated formation energy (eV per atom) = 0.01
- SG = P4/mmm (123)

```
data_CsK2AgAu
_symmetry_space_group_name_H-M 'P 1'
_symmetry_Int_Tables_number 1
_symmetry_space_group_name_Hall 'P 1'
_cell_length_a 6.3145
_cell_length_b 6.3145
_cell_length_c 6.8343
_cell_angle_alpha 90.00
_cell_angle_beta 90.00
_cell_angle_gamma 90.00
loop_
_atom_site_label
_atom_site_type_symbol
_atom_site_fract_x
_atom_site_fract_y
_atom_site_fract_z
Cs1 Cs 0.0000 0.0000 0.5000
K1 K 0.0000 0.5000 0.0000
K2 K 0.5000 0.0000 0.0000
Ag1 Ag 0.5000 0.5000 0.5000
Au1 Au 0.0000 0.0000 0.0000
```

***

No. 9
Material: DyPuFeOs
Method: DFT, PBE-GGA
State: optimized geometry

Properties
- crystal system = cubic
- mass density (g/cm³) = 14.01
- calculated formation energy (eV per atom) = -0.03
- SG = F-43m (216)

```
data_DyPuFeOs
_symmetry_space_group_name_H-M 'P 1'
_symmetry_Int_Tables_number 1
_symmetry_space_group_name_Hall 'P 1'
_cell_length_a 4.7825
_cell_length_b 4.7825
_cell_length_c 4.7825
_cell_angle_alpha 60.00
_cell_angle_beta 60.00
_cell_angle_gamma 60.00
loop_
_atom_site_label
_atom_site_type_symbol
_atom_site_fract_x
_atom_site_fract_y
_atom_site_fract_z
Pu1 Pu 0.0000 0.0000 0.0000
Os1 Os 0.7500 0.7500 0.7500
Dy1 Dy 0.5000 0.5000 0.5000
Fe1 Fe 0.2500 0.2500 0.2500
```

***

No. 10
Material: La2SnSb
Method: DFT, PBE-GGA
State: optimized geometry

Properties
- crystal system = monoclinic
- mass density (g/cm³) = 6.14
- E_form (uncorrected) (eV per formula unit) = -3.70
- SG = C2/m (12)

```
data_La2SnSb
_symmetry_space_group_name_H-M 'P 1'
_symmetry_Int_Tables_number 1
_symmetry_space_group_name_Hall 'P 1'
_cell_length_a 4.5025
_cell_length_b 4.4935
_cell_length_c 8.4231
_cell_angle_alpha 105.54
_cell_angle_beta 90.00
_cell_angle_gamma 120.07
loop_
_atom_site_label
_atom_site_type_symbol
_atom_site_fract_x
_atom_site_fract_y
_atom_site_fract_z
Sn1 Sn 0.5000 0.0000 0.0000
La1 La 0.2529 0.5058 0.2590
La2 La 0.7471 0.4942 0.7410
Sb1 Sb 0.0000 0.0000 0.5000
```

***

No. 11
Material: Ba2TeAs2
Method: DFT, PBE-GGA
State: optimized geometry

Properties
- crystal system = tetragonal
- mass density (g/cm³) = 5.54
- E_form (uncorrected) (eV per formula unit) = -5.19
- SG = I4/mmm (139)

```
data_Ba2TeAs2
_symmetry_space_group_name_H-M 'P 1'
_symmetry_Int_Tables_number 1
_symmetry_space_group_name_Hall 'P 1'
_cell_length_a 4.1955
_cell_length_b 4.1955
_cell_length_c 9.8551
_cell_angle_alpha 77.71
_cell_angle_beta 77.71
_cell_angle_gamma 90.00
loop_
_atom_site_label
_atom_site_type_symbol
_atom_site_fract_x
_atom_site_fract_y
_atom_site_fract_z
As1 As 0.7500 0.2500 0.5000
As2 As 0.2500 0.7500 0.5000
Ba1 Ba 0.6080 0.6080 0.7840
Ba2 Ba 0.3920 0.3920 0.2160
Te1 Te 0.0000 0.0000 0.0000
```

***

No. 12
Material: CdAsS
Method: DFT, PBE-GGA
State: optimized geometry

Properties
- crystal system = trigonal
- mass density (g/cm³) = 4.92
- E_form (uncorrected) (eV per formula unit) = -0.95
- SG = R3m (160)

```
data_CdAsS
_symmetry_space_group_name_H-M 'P 1'
_symmetry_Int_Tables_number 1
_symmetry_space_group_name_Hall 'P 1'
_cell_length_a 4.0229
_cell_length_b 4.0229
_cell_length_c 31.6885
_cell_angle_alpha 90.00
_cell_angle_beta 90.00
_cell_angle_gamma 120.00
loop_
_atom_site_label
_atom_site_type_symbol
_atom_site_fract_x
_atom_site_fract_y
_atom_site_fract_z
Cd1 Cd 0.0000 0.0000 0.2079
Cd2 Cd 0.6667 0.3333 0.3202
Cd3 Cd 0.3333 0.6667 0.6536
Cd4 Cd 0.6667 0.3333 0.5413
Cd5 Cd 0.0000 0.0000 0.9869
Cd6 Cd 0.3333 0.6667 0.8746
As1 As 0.6667 0.3333 0.4053
As2 As 0.3333 0.6667 0.4433
As3 As 0.3333 0.6667 0.7386
As4 As 0.0000 0.0000 0.7766
As5 As 0.6667 0.3333 0.1099
As6 As 0.0000 0.0000 0.0719
S1 S 0.3333 0.6667 0.1744
S2 S 0.3333 0.6667 0.9553
S3 S 0.0000 0.0000 0.2886
S4 S 0.6667 0.3333 0.6220
S5 S 0.0000 0.0000 0.5078
S6 S 0.6667 0.3333 0.8411
```